# 1
Below is a geometry-optimized La2IBr2 structure, with properties calculated at the PBE level.

Unit cell a=13.434 b=6.025 c=8.874 alpha=90.00 beta=108.90 gamma=90.00
Space group C2/m (No. 12)
Inequivalent atoms, fractional coordinates:
La 0.008 0.000 0.289 [4 per cell]
La 0.153 0.500 0.571 [4 per cell]
I 0.167 0.000 0.078 [4 per cell]
Br 0.002 0.500 0.771 [4 per cell]
Br 0.188 0.000 0.614 [4 per cell]

Crystal system: monoclinic
Formation energy without anion corrections (eV/atom): -1.47
VASP energy (eV/atom): -4.4239

***

# 2
Below is a geometry-optimized Ga8AgPt2 structure, with properties calculated at the PBE level.

Unit cell a=11.526 b=7.220 c=5.085 alpha=90.00 beta=101.49 gamma=90.00
Space group C2/m (No. 12)
Inequivalent atoms, fractional coordinates:
Ga 0.082 0.000 0.351 [4 per cell]
Ga 0.101 0.213 0.880 [8 per cell]
Ga 0.201 0.500 0.320 [4 per cell]
Ag 0.000 0.500 0.500 [2 per cell]
Pt 0.226 0.500 0.838 [4 per cell]

Crystal system: monoclinic
VASP energy (eV/atom): -3.7892
E_form (eV per atom): -0.23

***

# 3
Below is a geometry-optimized PmNdH4 structure, with properties calculated at the PBE level.

Unit cell a=3.848 b=3.848 c=5.442 alpha=90.00 beta=90.00 gamma=90.00
Space group P4/mmm (No. 123)
Inequivalent atoms, fractional coordinates:
Pm 0.000 0.000 0.000 [1 per cell]
Nd 0.500 0.500 0.500 [1 per cell]
H 0.000 0.500 0.247 [4 per cell]

Crystal system: tetragonal
VASP energy (eV/atom): -4.4806

***

Number 1: magnetic moment 0.00 Bohr magnetons per cell. Number 2: magnetic moment 0.00 Bohr magnetons per cell. Number 3: magnetic moment 0.00 Bohr magnetons per cell.